Record 1
VASP calculation (PBE-GGA) on a relaxed InTe3P3 crystal.

Cell and atoms, written as CIF:
```
data_InTe3P3
_cell_length_a 9.739
_cell_length_b 5.450
_cell_length_c 10.011
_cell_angle_alpha 90.00
_cell_angle_beta 118.67
_cell_angle_gamma 90.00
_space_group_name_H-M_alt 'P 1'
_space_group_IT_number 1
loop_
_space_group_symop_operation_xyz
'x,y,z'
loop_
_atom_site_label
_atom_site_type_symbol
_atom_site_fract_x
_atom_site_fract_y
_atom_site_fract_z
In1 In 0.174 0.250 0.344
In2 In 0.826 0.750 0.656
Te1 Te 0.057 0.750 0.550
Te2 Te 0.067 0.250 0.014
Te3 Te 0.490 0.750 0.443
Te4 Te 0.510 0.250 0.557
Te5 Te 0.933 0.750 0.986
Te6 Te 0.943 0.250 0.450
P1 P 0.320 0.750 0.990
P2 P 0.434 0.250 0.872
P3 P 0.453 0.750 0.873
P4 P 0.547 0.250 0.127
P5 P 0.566 0.750 0.128
P6 P 0.680 0.250 0.010
```

- Total energy: -26.97 eV per formula unit
- Symmetry: P2_1/m, No. 11
- E_form (uncorrected): 0.203 eV per atom
- Theoretical density: 4.207 g cm⁻³

---

Record 2
VASP calculation (PBE-GGA) on a relaxed In3TeP crystal.

Cell and atoms, written as CIF:
```
data_In3TeP
_cell_length_a 5.771
_cell_length_b 5.771
_cell_length_c 5.771
_cell_angle_alpha 90.00
_cell_angle_beta 90.00
_cell_angle_gamma 90.00
_space_group_name_H-M_alt 'P 1'
_space_group_IT_number 1
loop_
_space_group_symop_operation_xyz
'x,y,z'
loop_
_atom_site_label
_atom_site_type_symbol
_atom_site_fract_x
_atom_site_fract_y
_atom_site_fract_z
In1 In 0.000 0.000 0.500
In2 In 0.000 0.500 0.000
In3 In 0.500 0.000 0.000
Te1 Te 0.000 0.000 0.000
P1 P 0.500 0.500 0.500
```

- Total energy: -12.52 eV per formula unit
- Symmetry: Pm-3m, No. 221
- E_form (uncorrected): 0.849 eV per atom
- Theoretical density: 4.346 g cm⁻³